Entry one
Computed, not measured: NbVNO after structural relaxation at the PBE with a Hubbard U level of DFT.

Computed properties:
- space-group type = No. 38
- density (Mg/m³) = 6.094

Cell lengths 2.8564, 5.6783, 5.6783 Å; angles 30.95, 90.00, 90.00 degrees
Fractional coordinates of all 4 atoms:
Nb  0.0000  0.0000  0.0000
V  0.0000  0.2807  0.2807
N  0.5000  0.4255  0.4255
O  0.5000  0.1477  0.1477

=====

Entry two
Computed, not measured: NbVNO after structural relaxation at the PBE with a Hubbard U level of DFT.

Computed properties:
- space-group type = No. 99
- density (Mg/m³) = 6.664

Cell lengths 3.1182, 3.1182, 4.4554 Å; angles 90.00, 90.00, 90.00 degrees
Fractional coordinates of all 4 atoms:
Nb  0.0000  0.0000  0.0000
V  0.5000  0.5000  0.5380
N  0.5000  0.5000  0.0391
O  0.0000  0.0000  0.5037

=====

Ranking the structures above by energy, entry two is first and the second is 139 meV per atom behind.